[1]
# PrDy2Pu3Se6, optimized geometry, DFT PBE-GGA
data_PrDy2Pu3Se6
_chemical_formula_sum 'Pr2 Dy4 Pu6 Se12'
_symmetry_space_group_name_H-M 'C 1 2/m 1'
_symmetry_Int_Tables_number 12
_symmetry_space_group_name_Hall '-C 2y'
_cell_length_a 18.0437
_cell_length_b 4.1333
_cell_length_c 8.2869
_cell_angle_alpha 90.00
_cell_angle_beta 102.82
_cell_angle_gamma 90.00
loop_
_atom_site_label
_atom_site_type_symbol
_atom_site_fract_x
_atom_site_fract_y
_atom_site_fract_z
Pr1 Pr 0.0000 0.0000 0.0000
Dy1 Dy 0.1667 0.5000 0.3357
Pu1 Pu 0.0000 0.0000 0.5000
Pu2 Pu 0.1645 0.5000 0.8347
Se1 Se 0.0027 0.5000 0.2589
Se2 Se 0.1684 0.0000 0.5819
Se3 Se 0.1703 0.0000 0.0899
# Raw formation energy (eV per formula unit): -20.079
# Total DFT energy (no corrections) (eV per cell): -195.9

[2]
# Pm3AlZn8, optimized geometry, DFT PBE-GGA
data_Pm3AlZn8
_chemical_formula_sum 'Pm9 Al3 Zn24'
_symmetry_space_group_name_H-M 'R 3 m'
_symmetry_Int_Tables_number 160
_symmetry_space_group_name_Hall 'R 3 -2"'
_cell_length_a 5.5315
_cell_length_b 5.5315
_cell_length_c 26.4693
_cell_angle_alpha 90.00
_cell_angle_beta 90.00
_cell_angle_gamma 120.00
loop_
_atom_site_label
_atom_site_type_symbol
_atom_site_fract_x
_atom_site_fract_y
_atom_site_fract_z
Pm1 Pm 0.0000 0.0000 0.0000
Pm2 Pm 0.0000 0.0000 0.1264
Pm3 Pm 0.0000 0.0000 0.6138
Al1 Al 0.0000 0.0000 0.4902
Zn1 Zn 0.0000 0.0000 0.3118
Zn2 Zn 0.0000 0.0000 0.8092
Zn3 Zn 0.1674 0.3348 0.3945
Zn4 Zn 0.1675 0.3350 0.8932
# Energy of formation from the pure elements (eV/f.u.): -2.9
# Total DFT energy (no corrections) (eV per cell): -93.2

[3]
# Y2Ga2Si, optimized geometry, DFT PBE-GGA
data_Y2Ga2Si
_chemical_formula_sum 'Y8 Ga8 Si4'
_symmetry_space_group_name_H-M 'C 1 2/m 1'
_symmetry_Int_Tables_number 12
_symmetry_space_group_name_Hall '-C 2y'
_cell_length_a 10.8789
_cell_length_b 4.0969
_cell_length_c 10.8121
_cell_angle_alpha 90.00
_cell_angle_beta 116.51
_cell_angle_gamma 90.00
loop_
_atom_site_label
_atom_site_type_symbol
_atom_site_fract_x
_atom_site_fract_y
_atom_site_fract_z
Y1 Y 0.0987 0.0000 0.4004
Y2 Y 0.2056 0.5000 0.1452
Ga1 Ga 0.0303 0.0000 0.9065
Ga2 Ga 0.1327 0.5000 0.6143
Si1 Si 0.0703 0.5000 0.8099
# Raw formation energy (eV per formula unit): -3.364
# Total DFT energy (no corrections) (eV per cell): -111.1
# Polymorph energy (0 for the lowest one) (eV per formula unit): 0.00

[4]
# Ce2Nd3Te6, optimized geometry, DFT PBE-GGA
data_Ce2Nd3Te6
_chemical_formula_sum 'Ce4 Nd6 Te12'
_symmetry_space_group_name_H-M 'C 1 2/m 1'
_symmetry_Int_Tables_number 12
_symmetry_space_group_name_Hall '-C 2y'
_cell_length_a 7.7442
_cell_length_b 13.4163
_cell_length_c 7.7675
_cell_angle_alpha 90.00
_cell_angle_beta 109.53
_cell_angle_gamma 90.00
loop_
_atom_site_label
_atom_site_type_symbol
_atom_site_fract_x
_atom_site_fract_y
_atom_site_fract_z
Ce1 Ce 0.0000 0.1655 0.0000
Nd1 Nd 0.0000 0.0000 0.5000
Nd2 Nd 0.0000 0.3322 0.5000
Te1 Te 0.2438 0.3371 0.2438
Te2 Te 0.2438 0.5000 0.7555
# Raw formation energy (eV per formula unit): -15.831
# Total DFT energy (no corrections) (eV per cell): -121.7

[5]
# CdRu2CBr, optimized geometry, DFT PBE-GGA
data_CdRu2CBr
_chemical_formula_sum 'Cd1 Ru2 C1 Br1'
_symmetry_space_group_name_H-M 'P 4/m m m'
_symmetry_Int_Tables_number 123
_symmetry_space_group_name_Hall '-P 4 2'
_cell_length_a 3.9753
_cell_length_b 3.9753
_cell_length_c 6.1340
_cell_angle_alpha 90.00
_cell_angle_beta 90.00
_cell_angle_gamma 90.00
loop_
_atom_site_label
_atom_site_type_symbol
_atom_site_fract_x
_atom_site_fract_y
_atom_site_fract_z
Cd1 Cd 0.0000 0.0000 0.0000
Ru1 Ru 0.0000 0.5000 0.5000
C1 C 0.5000 0.5000 0.5000
Br1 Br 0.5000 0.5000 0.0000
# Raw formation energy (eV per formula unit): 4.213
# Total DFT energy (no corrections) (eV per cell): -26.2

[6]
# SrGaSb2I, optimized geometry, DFT PBE-GGA
data_SrGaSb2I
_chemical_formula_sum 'Sr1 Ga1 Sb2 I1'
_symmetry_space_group_name_H-M 'P 4/m m m'
_symmetry_Int_Tables_number 123
_symmetry_space_group_name_Hall '-P 4 2'
_cell_length_a 6.2533
_cell_length_b 6.2533
_cell_length_c 6.3054
_cell_angle_alpha 90.00
_cell_angle_beta 90.00
_cell_angle_gamma 90.00
loop_
_atom_site_label
_atom_site_type_symbol
_atom_site_fract_x
_atom_site_fract_y
_atom_site_fract_z
Sr1 Sr 0.0000 0.0000 0.0000
Ga1 Ga 0.5000 0.5000 0.5000
Sb1 Sb 0.0000 0.5000 0.0000
I1 I 0.0000 0.0000 0.5000
# Raw formation energy (eV per formula unit): 1.686
# Total DFT energy (no corrections) (eV per cell): -12.8
# Polymorph energy (0 for the lowest one) (eV per formula unit): 2.86

[7]
# TbPr2Er6, optimized geometry, DFT PBE-GGA
data_TbPr2Er6
_chemical_formula_sum 'Tb4 Pr8 Er24'
_symmetry_space_group_name_H-M 'C 1 2/c 1'
_symmetry_Int_Tables_number 15
_symmetry_space_group_name_Hall '-C 2yc'
_cell_length_a 12.8187
_cell_length_b 14.2023
_cell_length_c 6.5610
_cell_angle_alpha 90.00
_cell_angle_beta 103.42
_cell_angle_gamma 90.00
loop_
_atom_site_label
_atom_site_type_symbol
_atom_site_fract_x
_atom_site_fract_y
_atom_site_fract_z
Tb1 Tb 0.0000 0.1177 0.2500
Pr1 Pr 0.1436 0.4731 0.3752
Er1 Er 0.0348 0.3104 0.0023
Er2 Er 0.1315 0.0895 0.8151
Er3 Er 0.2407 0.2980 0.7330
# Energy of formation from the pure elements (eV/f.u.): 1.0
# Total DFT energy (no corrections) (eV per cell): -162.2

[8]
# Sc2VCr, optimized geometry, DFT PBE-GGA
data_Sc2VCr
_chemical_formula_sum 'Sc6 V3 Cr3'
_symmetry_space_group_name_H-M 'R -3 m'
_symmetry_Int_Tables_number 166
_symmetry_space_group_name_Hall '-R 3 2"'
_cell_length_a 2.9497
_cell_length_b 2.9497
_cell_length_c 29.1602
_cell_angle_alpha 90.00
_cell_angle_beta 90.00
_cell_angle_gamma 120.00
loop_
_atom_site_label
_atom_site_type_symbol
_atom_site_fract_x
_atom_site_fract_y
_atom_site_fract_z
Sc1 Sc 0.0000 0.0000 0.0921
V1 V 0.0000 0.0000 0.0000
Cr1 Cr 0.0000 0.0000 0.5000
# Energy of formation from the pure elements (eV/f.u.): 2.5
# Total DFT energy (no corrections) (eV per cell): -86.6
# Polymorph energy (0 for the lowest one) (eV per formula unit): 1.26